1.
DFT (PBE) results for PHOsO after structural relaxation.

a b c (Å): 2.924 2.952 6.332
angles (deg): 92.63 97.55 90.15
Element x y z (fractional)
P 0.000 0.000 0.000
H 0.178 0.994 0.671
Os 0.546 0.516 0.162
O 0.896 0.971 0.740

Properties
For the density of states at the Fermi level, the calculation gives 0.401 states/eV/cell. For the uncorrected energy, the calculation gives -26.9 eV/cell. The spin magnetization is 0.0 Bohr magnetons per cell. The volume comes out at 54 Å³/cell.

2.
DFT (PBE) results for AlCdI2 after structural relaxation.

a b c (Å): 10.114 10.114 10.114
angles (deg): 144.03 144.03 51.79
Element x y z (fractional)
Al 0.000 0.000 0.000
Al 0.750 0.250 0.500
Cd 0.250 0.750 0.500
Cd 0.500 0.500 0.000
I 0.139 0.625 0.014
I 0.375 0.389 0.514
I 0.611 0.125 0.986
I 0.875 0.861 0.486

Properties
For the density of states at the Fermi level, the calculation gives 1.803 states/eV/cell. The spin magnetization is 0.0 Bohr magnetons per cell. The volume comes out at 355 Å³/cell. Its formation energy (no corrections) is 63 meV/atom.